The following is a DFT calculation (PBE+U) of an optimized crystal structure of FeTeRu2F.

Cell: 4.523 4.523 3.923 Å, 90.00 90.00 90.00°
Fractional coordinates of all 5 atoms:
Fe1 0.000 0.000 0.000
Te1 0.500 0.500 0.000
Ru1 0.000 0.500 0.500
Ru2 0.500 0.000 0.500
F1 0.000 0.000 0.500

Properties
* calculated total energy: -5.17 eV per atom
* magnetization: 5.56 μB/cell